This record from Alexandria describes a relaxed structure of BeNbAl2N. The functional is PBE.

Geometry as POSCAR:
```
BeNbAl2N
1.0
-2.8931 0.4148 -4.1315
-2.2720 -1.0646 1.4841
-1.2976 4.6929 1.3798
Be Nb Al N
1 1 2 1
Direct
0.0000 0.0000 0.0000
0.5000 0.5000 0.5000
0.0000 0.0000 0.5000
0.5000 0.0000 0.0000
0.0000 0.5000 0.0000
```

energy relative to the elements, uncorrected = 0.270 eV per atom
N(E_F) = 1.6 states/eV per cell



This record from Alexandria describes a relaxed structure of VCu3Br9. The functional is PBE.

Geometry as POSCAR:
```
VCu3Br9
1.0
-4.7068 -0.9266 7.8848
-8.4980 -4.9772 -0.2560
1.8796 -9.2500 5.4367
V Cu Br
2 6 18
Direct
0.0293 0.4920 0.0071
0.4716 0.9920 0.5071
0.8132 0.5693 0.6614
0.9561 0.0693 0.1614
0.9906 0.9360 0.8400
0.2334 0.4360 0.3400
0.5773 0.2376 0.7267
0.4584 0.7376 0.2267
0.3409 0.1649 0.3276
0.1666 0.6649 0.8276
0.3271 0.2854 0.9430
0.4445 0.7854 0.4430
0.1642 0.0792 0.6777
0.0790 0.5792 0.1777
0.7448 0.7298 0.0662
0.4591 0.2298 0.5662
0.7732 0.9367 0.3629
0.9272 0.4367 0.8629
0.5585 0.8185 0.6983
0.9247 0.3185 0.1983
0.4951 0.4811 0.2376
0.7862 0.9811 0.7376
0.7076 0.4178 0.6139
0.2607 0.9178 0.1139
0.8082 0.1092 0.0155
0.0670 0.6092 0.5155
```

energy relative to the elements, uncorrected = -0.416 eV per atom
N(E_F) = 24.2 states/eV per cell



Question: What is the N(E_F) in the first record?
Answer: 1.6 states/eV per cell